A plane-wave DFT calculation with PBE was carried out for an optimized crystal structure of Te2WCl.

abc: 3.2580 3.2580 9.3352
angles: 90.00 90.00 114.28
Closest atoms and distances in Å follow each position.
Positions (direct):
Te (0.0000, 0.0000, 0.2286)  2 W 2.77, 2 Cl 3.09
Te (0.0000, 0.0000, 0.7714)  2 W 2.77, 2 Cl 3.09
W (0.5000, 0.5000, 0.0000)  4 Te 2.77
Cl (0.5000, 0.5000, 0.5000)  4 Te 3.09, 4 Cl 3.26

Results
The space group is Cmmm, No. 65. The uncorrected formation energy comes out at 418 meV per atom. The energy is -4.85 eV per atom. The magnetic moment comes out at 0.00 μB/f.u. The value obtained for the density of states at the Fermi level is 3.36 states/eV per cell. The offset from the most stable computed form is 10.105 kcal/mol of atoms.



A plane-wave DFT calculation with PBE was carried out for an optimized crystal structure of Te2WCl.

abc: 7.0435 7.0435 7.1931
angles: 118.90 118.90 26.47
Closest atoms and distances in Å follow each position.
Positions (direct):
Te (0.0000, 0.0000, 0.0000)  2 W 2.70
Te (0.1584, 0.1584, 0.5987)  2 W 2.70
W (0.6584, 0.6584, 0.2978)  2 Cl 2.48, 4 Te 2.70
Cl (0.2950, 0.2950, 0.2952)  2 W 2.48

Results
The space group is Cm, No. 8. The uncorrected formation energy comes out at -17 meV per atom. The energy is -5.29 eV per atom. The magnetic moment comes out at 0.00 μB/f.u. The value obtained for the density of states at the Fermi level is 3.30 states/eV per cell. The offset from the most stable computed form is 0.067 kcal/mol of atoms.



A plane-wave DFT calculation with PBE was carried out for an optimized crystal structure of Te2WCl.

abc: 5.1760 5.1760 3.2113
angles: 90.00 90.00 90.00
Closest atoms and distances in Å follow each position.
Positions (direct):
Te (0.0000, 0.5000, 0.0000)  4 Cl 3.05, 4 W 3.05, 2 Te 3.21
Te (0.5000, 0.0000, 0.0000)  4 Cl 3.05, 4 W 3.05, 2 Te 3.21
W (0.0000, 0.0000, 0.5000)  8 Te 3.05, 2 W 3.21
Cl (0.5000, 0.5000, 0.5000)  8 Te 3.05, 2 Cl 3.21

Results
The space group is P4/mmm, No. 123. The uncorrected formation energy comes out at 873 meV per atom. The energy is -4.40 eV per atom. The magnetic moment comes out at 1.06 μB/f.u. The value obtained for the density of states at the Fermi level is 4.34 states/eV per cell. The offset from the most stable computed form is 20.591 kcal/mol of atoms.



A plane-wave DFT calculation with PBE was carried out for an optimized crystal structure of Te2WCl.

abc: 3.4285 4.9073 5.1295
angles: 90.00 90.00 90.00
Closest atoms and distances in Å follow each position.
Positions (direct):
Te (0.0000, 0.0000, 0.0000)  4 Cl 2.99, 4 Te 3.08
Te (0.5000, 0.0000, 0.5000)  4 W 2.99, 4 Te 3.08
W (0.0000, 0.5000, 0.5000)  4 Te 2.99, 4 Cl 3.08
Cl (0.5000, 0.5000, 0.0000)  4 Te 2.99, 4 W 3.08

Results
The space group is Pmmm, No. 47. The uncorrected formation energy comes out at 1059 meV per atom. The energy is -4.21 eV per atom. The magnetic moment comes out at 0.87 μB/f.u. The value obtained for the density of states at the Fermi level is 3.47 states/eV per cell. The offset from the most stable computed form is 24.885 kcal/mol of atoms.